! BaIn3Bi4 | Alexandria | PBE-GGA | relaxed; values from VASP
! V: 33.52 A^3/atom
! energy of formation from the pure elements: -3.905 kcal/mol of atoms
! raw total energy: -3.377 eV per atom
! space-group type: C2/m, No. 12
! total magnetization: 0.00 μB per atom
&SYSTEM
  ibrav = 0, nat = 8, ntyp = 3
/
ATOMIC_SPECIES
Ba 137.33 Ba.upf
In 114.82 In.upf
Bi 208.98 Bi.upf
ATOMIC_POSITIONS crystal
Ba 0.000 0.000 0.000
In 0.347 0.347 0.762
In 0.500 0.500 0.500
In 0.653 0.653 0.238
Bi 0.135 0.135 0.555
Bi 0.280 0.280 0.211
Bi 0.720 0.720 0.789
Bi 0.865 0.865 0.445
CELL_PARAMETERS angstrom
7.576 -2.825 0.000
7.576 2.825 0.000
-1.331 0.000 6.264